# GdH2O2F

An optimized crystal structure of GdH2O2F (PBE-GGA, OQMD).

```
data_GdH2O2F
_chemical_formula_sum 'Gd2 H4 O4 F2'
_symmetry_space_group_name_H-M 'P 1'
_symmetry_Int_Tables_number 1
_symmetry_space_group_name_Hall 'P 1'
_cell_length_a 6.0136
_cell_length_b 3.5698
_cell_length_c 6.0877
_cell_angle_alpha 90.00
_cell_angle_beta 118.86
_cell_angle_gamma 90.00
loop_
_atom_site_label
_atom_site_fract_x
_atom_site_fract_y
_atom_site_fract_z
Gd1 0.1618 0.2500 0.3243
Gd2 0.8382 0.7500 0.6757
H1 0.2480 0.2500 0.8744
H2 0.3662 0.7500 0.7439
H3 0.6338 0.2500 0.2561
H4 0.7520 0.7500 0.1256
O1 0.1116 0.2500 0.9166
O2 0.1942 0.7500 0.6049
O3 0.8058 0.2500 0.3951
O4 0.8884 0.7500 0.0834
F1 0.4269 0.7500 0.3112
F2 0.5731 0.2500 0.6888
```

Summary:
Its total magnetization is 0.000 μB per cell. The crystal system is monoclinic. As for the symmetry: P2_1/m (11). The calculated total energy comes out at -0.46364 Ry per atom.